## Ag2IrCl (GGA-PBE)

Data for Ag2IrCl after structural relaxation.

abc: 2.940 2.940 9.078
angles: 90.00 90.00 118.09
Site moments in Bohr magnetons follow the coordinates.
Positions (direct):
Ag 0.000 0.000 0.004  0.01
Ag 0.000 0.000 0.496  0.01
Cl 0.500 0.500 0.250  0.01
Ir 0.500 0.500 0.750  0.48

Output
raw formation energy: 355 meV per atom
offset from the most stable computed form: 41 meV/atom
VASP energy: -0.2755 Ry/atom
symmetry: No. 65
total moment: 0.131 μB per atom

***

## Ag7IrCl12 (GGA-PBE)

Data for Ag7IrCl12 after structural relaxation.

abc: 6.715 10.237 10.237
angles: 64.64 77.37 102.63
Positions (direct):
Cl 0.716 0.463 0.120
Cl 0.748 0.584 0.537
Cl 0.164 0.880 0.584
Cl 0.197 0.092 0.126
Cl 0.323 0.126 0.782
Cl 0.894 0.218 0.908
Cl 0.836 0.120 0.416
Cl 0.284 0.537 0.880
Cl 0.106 0.782 0.092
Cl 0.803 0.908 0.874
Cl 0.677 0.874 0.218
Cl 0.252 0.416 0.463
Ag 0.500 0.000 0.000
Ag 0.861 0.865 0.452
Ag 0.313 0.452 0.683
Ag 0.687 0.548 0.317
Ag 0.005 0.317 0.135
Ag 0.139 0.135 0.548
Ag 0.995 0.683 0.865
Ir 0.000 0.000 0.000

Output
raw formation energy: -410 meV per atom
VASP energy: -0.2175 Ry/atom
symmetry: No. 148
total moment: 0.000 μB per atom

***

## AgIr2Cl (GGA-PBE)

Data for AgIr2Cl after structural relaxation.

abc: 2.800 4.010 5.714
angles: 90.00 90.00 90.00
Positions (direct):
Ir 0.000 0.000 0.503
Ir 0.000 0.000 0.997
Cl 0.500 0.500 0.750
Ag 0.500 0.500 0.250

Output
raw formation energy: 1052 meV per atom
offset from the most stable computed form: 743 meV/atom
VASP energy: -0.3346 Ry/atom
symmetry: No. 47
total moment: 0.001 μB per atom

***

## AgIr2Cl (GGA-PBE)

Data for AgIr2Cl after structural relaxation.

abc: 5.128 5.128 2.730
angles: 90.00 90.00 114.59
Positions (direct):
Ir 0.500 0.500 0.000
Ir 0.000 0.000 0.000
Ag 0.500 0.000 0.500
Cl 0.000 0.500 0.500

Output
raw formation energy: 1068 meV per atom
offset from the most stable computed form: 759 meV/atom
VASP energy: -0.3334 Ry/atom
symmetry: No. 65
total moment: 0.001 μB per atom